a) A relaxed TaTcTe2 crystal, computed with PBE.

The value obtained for the density is 10.9 g cm⁻³. As for the total magnetic moment: 0.00 Bohr magnetons per cell.

The structure belongs to space group Immm (No. 71); the cell edges are 3.372, 5.364 and 9.018 Å and the angles 90.00°, 90.00° and 90.00°. Symmetry generates all atoms from Ta at (0.000, 0.000, 0.000), Tc at (0.000, 0.000, 0.500) and Te at (0.000, 0.500, 0.229).

***

b) A relaxed TaTcTe2 crystal, computed with PBE.

The value obtained for the density is 11.7 g cm⁻³. As for the total magnetic moment: 0.00 Bohr magnetons per cell.

The structure belongs to space group P4/mmm (No. 123); the cell edges are 4.738, 4.738 and 3.366 Å and the angles 90.00°, 90.00° and 90.00°. Symmetry generates all atoms from Ta at (0.000, 0.000, 0.000), Tc at (0.500, 0.500, 0.000) and Te at (0.000, 0.500, 0.500).

***

c) A relaxed TaTcTe2 crystal, computed with PBE.

The value obtained for the density is 11.6 g cm⁻³. As for the total magnetic moment: 0.00 Bohr magnetons per cell.

The structure belongs to space group Fm-3m (No. 225); the cell edges are 6.729, 6.729 and 6.729 Å and the angles 90.00°, 90.00° and 90.00°. Symmetry generates all atoms from Ta at (0.000, 0.000, 0.000), Tc at (0.000, 0.000, 0.500) and Te at (0.250, 0.250, 0.250).

***

What should be chosen as the least stable of them? Choose a).

***

a) A relaxed TaTcTe2 crystal, computed with PBE.

The value obtained for the density is 11.2 g cm⁻³. As for the total magnetic moment: 0.00 Bohr magnetons per cell.

The structure belongs to space group C2/m (No. 12); the cell edges are 8.622, 3.300 and 5.724 Å and the angles 90.00°, 103.40° and 90.00°. Symmetry generates all atoms from Ta at (0.000, 0.000, 0.000), Tc at (0.000, 0.500, 0.500) and Te at (0.246, 0.000, 0.745).

***

b) A relaxed TaTcTe2 crystal, computed with PBE.

The value obtained for the density is 10.8 g cm⁻³. As for the total magnetic moment: 0.60 Bohr magnetons per cell.

The structure belongs to space group Pmmm (No. 47); the cell edges are 3.349, 4.470 and 5.477 Å and the angles 90.00°, 90.00° and 90.00°. Symmetry generates all atoms from Ta at (0.000, 0.000, 0.000), Tc at (0.500, 0.000, 0.500), Te at (0.000, 0.500, 0.500) and Te at (0.500, 0.500, 0.000).

***

c) A relaxed TaTcTe2 crystal, computed with PBE.

The value obtained for the density is 11.3 g cm⁻³. As for the total magnetic moment: 0.00 Bohr magnetons per cell.

The structure belongs to space group R-3m (No. 166, hexagonal axes); the cell edges are 3.2572, 3.2572 and 25.7211 Å and the angles 90.00°, 90.00° and 120.00°. Symmetry generates all atoms from Ta at (0.0000, 0.0000, 0.0000), Tc at (0.0000, 0.0000, 0.5000) and Te at (0.0000, 0.0000, 0.2458).

***

What should be chosen as the least stable of them? Choose b).

***

a) A relaxed TaTcTe crystal, computed with PBE.

The value obtained for the density is 12.5 g cm⁻³. As for the total magnetic moment: 0.00 Bohr magnetons per cell.

The structure belongs to space group P-6m2 (No. 187); the cell edges are 4.4920, 4.4920 and 3.1021 Å and the angles 90.00°, 90.00° and 120.00°. Symmetry generates all atoms from Ta at (0.0000, 0.0000, 0.0000), Tc at (0.6667, 0.3333, 0.5000) and Te at (0.3333, 0.6667, 0.5000).

***

b) A relaxed TaTcTe crystal, computed with PBE.

The value obtained for the density is 11.2 g cm⁻³. As for the total magnetic moment: 0.00 Bohr magnetons per cell.

The structure belongs to space group F-43m (No. 216); the cell edges are 6.230, 6.230 and 6.230 Å and the angles 90.00°, 90.00° and 90.00°. Symmetry generates all atoms from Ta at (0.000, 0.000, 0.000), Tc at (0.250, 0.250, 0.250) and Te at (0.000, 0.000, 0.500).

***

What should be chosen as the least stable of them? Choose a).

***

a) A relaxed Ta2TcTe2 crystal, computed with PBE.

The value obtained for the density is 10.6 g cm⁻³. As for the total magnetic moment: 2.48 Bohr magnetons per cell.

The structure belongs to space group I4/mmm (No. 139); the cell edges are 4.068, 4.068 and 13.552 Å and the angles 90.00°, 90.00° and 90.00°. Symmetry generates all atoms from Ta at (0.000, 0.000, 0.094), Tc at (0.000, 0.000, 0.500) and Te at (0.000, 0.500, 0.250).

***

b) A relaxed Ta2TcTe2 crystal, computed with PBE.

The value obtained for the density is 11.7 g cm⁻³. As for the total magnetic moment: 0.00 Bohr magnetons per cell.

The structure belongs to space group P4/mbm (No. 127); the cell edges are 7.322, 7.322 and 3.784 Å and the angles 90.00°, 90.00° and 90.00°. Symmetry generates all atoms from Ta at (0.143, 0.357, 0.000), Tc at (0.000, 0.000, 0.000) and Te at (0.158, 0.658, 0.500).

***

What should be chosen as the least stable of them? Choose a).